# 1
A relaxed CdPAuO2 crystal. Source: Alexandria via LeMat-Bulk, functional PBE.

## Properties
SG: P4/mmm
raw total energy: -3.257 eV per atom

a b c (Å): 3.9843 3.9843 5.7639
angles (deg): 90.00 90.00 90.00
Closest atoms and distances in Å follow each position.
Atoms (fractional coordinates):
Cd: 0.0000 0.0000 0.0000  4 O 1.99
P: 0.0000 0.0000 0.5000  4 Au 2.82, 2 Cd 2.88
Au: 0.5000 0.5000 0.5000  4 P 2.82
O: 0.0000 0.5000 0.0000  2 Cd 1.99
O: 0.5000 0.0000 0.0000  2 Cd 1.99


# 2
A relaxed TbScPd crystal. Source: Alexandria via LeMat-Bulk, functional PBE.

## Properties
SG: P2_1/m
raw total energy: -5.889 eV per atom
ΔE_f: -1.5 eV/f.u.

a b c (Å): 3.6002 5.0248 7.6546
angles (deg): 90.00 103.60 90.00
Closest atoms and distances in Å follow each position.
Atoms (fractional coordinates):
Tb: 0.2238 0.2500 0.4476  2 Pd 2.92, 4 Tb 3.19
Tb: 0.7762 0.7500 0.5524  2 Pd 2.92, 4 Tb 3.19
Sc: 0.0707 0.7500 0.1433  4 Pd 2.76-3.09
Sc: 0.9293 0.2500 0.8567  4 Pd 2.76-3.09
Pd: 0.4305 0.7500 0.8618  4 Sc 2.76-3.09, 2 Tb 2.92
Pd: 0.5695 0.2500 0.1382  4 Sc 2.76-3.09, 2 Tb 2.92


# 3
A relaxed Sr3Pm3SmTe8 crystal. Source: Alexandria via LeMat-Bulk, functional PBE.

## Properties
SG: R-3m
raw total energy: -4.828 eV per atom

a b c (Å): 9.2814 9.2814 9.2814
angles (deg): 58.21 58.21 58.21
Closest atoms and distances in Å follow each position.
Atoms (fractional coordinates):
Sr: 0.0000 0.5000 0.5000  6 Te 3.29-3.31
Sr: 0.5000 0.0000 0.5000  6 Te 3.29-3.31
Sr: 0.5000 0.5000 0.0000  6 Te 3.29-3.31
Pm: 0.0000 0.0000 0.5000  6 Te 3.17-3.18
Pm: 0.0000 0.5000 0.0000  6 Te 3.17-3.18
Pm: 0.5000 0.0000 0.0000  6 Te 3.17-3.18
Sm: 0.5000 0.5000 0.5000  6 Te 3.19
Te: 0.2433 0.7466 0.7466  2 Pm 3.17, 1 Sm 3.19, 2 Sr 3.31
Te: 0.2461 0.2461 0.2461  3 Pm 3.18, 3 Sr 3.29
Te: 0.2534 0.2534 0.7567  2 Pm 3.17, 1 Sm 3.19, 2 Sr 3.31
Te: 0.2534 0.7567 0.2534  2 Pm 3.17, 1 Sm 3.19, 2 Sr 3.31
Te: 0.7466 0.2433 0.7466  2 Pm 3.17, 1 Sm 3.19, 2 Sr 3.31
Te: 0.7466 0.7466 0.2433  2 Pm 3.17, 1 Sm 3.19, 2 Sr 3.31
Te: 0.7539 0.7539 0.7539  3 Pm 3.18, 3 Sr 3.29
Te: 0.7567 0.2534 0.2534  2 Pm 3.17, 1 Sm 3.19, 2 Sr 3.31


# 4
A relaxed TlOs5 crystal. Source: Alexandria via LeMat-Bulk, functional PBE.

## Properties
SG: Cm
raw total energy: -9.245 eV per atom
ΔE_f: 3.0 eV/f.u.

a b c (Å): 5.3230 5.3230 6.6578
angles (deg): 104.61 104.61 30.74
Closest atoms and distances in Å follow each position.
Atoms (fractional coordinates):
Tl: 0.0000 0.0000 0.0000  10 Os 2.73-2.98, 2 Tl 2.82
Os: 0.2741 0.2741 0.0710  9 Os 2.68-3.00, 3 Tl 2.73-2.86
Os: 0.3374 0.3374 0.6563  8 Os 2.61-2.82, 2 Tl 2.83
Os: 0.6290 0.6290 0.7107  9 Os 2.60-2.85
Os: 0.6880 0.6880 0.3532  10 Os 2.60-2.88
Os: 0.9538 0.9538 0.4022  11 Os 2.66-2.88, 1 Tl 2.84


# 5
A relaxed CsTlCl3 crystal. Source: Alexandria via LeMat-Bulk, functional PBE.

## Properties
SG: C2/m
raw total energy: -3.064 eV per atom

a b c (Å): 7.6447 7.6447 7.9056
angles (deg): 90.20 90.20 60.05
Closest atoms and distances in Å follow each position.
Atoms (fractional coordinates):
Cs: 0.1654 0.1654 0.3447  9 Cl 3.58-3.85
Cs: 0.8346 0.8346 0.6553  9 Cl 3.58-3.85
Tl: 0.5000 0.5000 0.0000  6 Cl 3.22
Tl: 0.5000 0.5000 0.5000  6 Cl 2.64
Cl: 0.1761 0.6624 0.3038  1 Tl 2.64
Cl: 0.3380 0.3380 0.6944  1 Tl 2.64
Cl: 0.3376 0.8239 0.6962  1 Tl 2.64
Cl: 0.6624 0.1761 0.3038  1 Tl 2.64
Cl: 0.6620 0.6620 0.3056  1 Tl 2.64
Cl: 0.8239 0.3376 0.6962  1 Tl 2.64


# 6
A relaxed CsAcHg2 crystal. Source: Alexandria via LeMat-Bulk, functional PBE.

## Properties
SG: P4/mmm
raw total energy: -1.689 eV per atom
ΔE_f: -1.2 eV/f.u.

a b c (Å): 4.1950 4.1950 8.9881
angles (deg): 90.00 90.00 90.00
Closest atoms and distances in Å follow each position.
Atoms (fractional coordinates):
Cs: 0.0000 0.0000 0.0000  8 Hg 4.04, 4 Cs 4.19, 2 Ac 4.49
Ac: 0.0000 0.0000 0.5000  8 Hg 3.44
Hg: 0.5000 0.5000 0.3056  4 Ac 3.44, 1 Hg 3.49
Hg: 0.5000 0.5000 0.6944  4 Ac 3.44, 1 Hg 3.49


# 7
A relaxed Ce2InSi3Ir4 crystal. Source: Alexandria via LeMat-Bulk, functional PBE.

## Properties
SG: P-4m2
raw total energy: -7.486 eV per atom

a b c (Å): 4.1548 4.1548 10.5452
angles (deg): 90.00 90.00 90.00
Closest atoms and distances in Å follow each position.
Atoms (fractional coordinates):
Ce: 0.0000 0.5000 0.2458  8 Ir 3.12-3.32, 6 Si 3.22-3.39, 2 In 3.39
Ce: 0.5000 0.0000 0.7542  8 Ir 3.12-3.32, 6 Si 3.22-3.39, 2 In 3.39
In: 0.0000 0.0000 0.5000  4 Ir 2.64, 4 Si 2.94
Si: 0.0000 0.5000 0.8785  5 Ir 2.36-2.44
Si: 0.5000 0.0000 0.1215  5 Ir 2.36-2.44
Si: 0.5000 0.5000 0.5000  4 Ir 2.64, 4 In 2.94
Ir: 0.0000 0.0000 0.0000  4 Si 2.44
Ir: 0.0000 0.5000 0.6550  1 Si 2.36
Ir: 0.5000 0.0000 0.3450  1 Si 2.36
Ir: 0.5000 0.5000 0.0000  4 Si 2.44


# 8
A relaxed K2SnH6Ru crystal. Source: Alexandria via LeMat-Bulk, functional PBE.

## Properties
SG: I4/mmm
raw total energy: -3.584 eV per atom

a b c (Å): 5.6424 5.6424 5.6424
angles (deg): 119.92 119.92 90.14
Closest atoms and distances in Å follow each position.
Atoms (fractional coordinates):
K: 0.2500 0.7500 0.5000  12 H 2.83
K: 0.7500 0.2500 0.5000  12 H 2.83
Sn: 0.0000 0.0000 0.0000  6 H 2.22-2.23
H: 0.2787 0.2787 0.0000  1 Ru 1.76
H: 0.2790 0.2790 0.5581  1 Ru 1.77
H: 0.2790 0.7210 0.0000  1 Ru 1.77
H: 0.7210 0.2790 0.0000  1 Ru 1.77
H: 0.7213 0.7213 0.0000  1 Ru 1.76
H: 0.7210 0.7210 0.4419  1 Ru 1.77
Ru: 0.5000 0.5000 0.0000  6 H 1.76-1.77


# 9
A relaxed PdRhS3 crystal. Source: Alexandria via LeMat-Bulk, functional PBE.

## Properties
SG: Pm-3m
raw total energy: -4.301 eV per atom

a b c (Å): 4.6221 4.6221 4.6221
angles (deg): 90.00 90.00 90.00
Closest atoms and distances in Å follow each position.
Atoms (fractional coordinates):
Pd: 0.0000 0.0000 0.0000  12 S 3.27
Rh: 0.5000 0.5000 0.5000  6 S 2.31
S: 0.0000 0.5000 0.5000  2 Rh 2.31
S: 0.5000 0.0000 0.5000  2 Rh 2.31
S: 0.5000 0.5000 0.0000  2 Rh 2.31


# 10
A relaxed SmTh2Pt crystal. Source: Alexandria via LeMat-Bulk, functional PBE.

## Properties
SG: Cmcm
raw total energy: -7.002 eV per atom
ΔE_f: -2.4 eV/f.u.

a b c (Å): 6.2431 6.2431 10.2378
angles (deg): 90.00 90.00 144.55
Closest atoms and distances in Å follow each position.
Atoms (fractional coordinates):
Sm: 0.0829 0.9171 0.7500  2 Pt 3.08
Sm: 0.9171 0.0829 0.2500  2 Pt 3.08
Th: 0.3638 0.6362 0.5521  2 Pt 2.92
Th: 0.3638 0.6362 0.9479  2 Pt 2.92
Th: 0.6362 0.3638 0.0521  2 Pt 2.92
Th: 0.6362 0.3638 0.4479  2 Pt 2.92
Pt: 0.2131 0.7869 0.2500  4 Th 2.92, 2 Sm 3.08
Pt: 0.7869 0.2131 0.7500  4 Th 2.92, 2 Sm 3.08


# 11
A relaxed CuTc2W crystal. Source: Alexandria via LeMat-Bulk, functional PBE.

## Properties
SG: Cmmm
raw total energy: -9.220 eV per atom
ΔE_f: 0.9 eV/f.u.

a b c (Å): 2.6650 2.6650 8.6936
angles (deg): 90.00 90.00 108.07
Closest atoms and distances in Å follow each position.
Atoms (fractional coordinates):
Cu: 0.0000 0.0000 0.0000  4 Tc 2.66, 4 Cu 2.67
Tc: 0.5000 0.5000 0.2468  2 Cu 2.66, 4 Tc 2.67, 2 W 2.70
Tc: 0.5000 0.5000 0.7532  2 Cu 2.66, 4 Tc 2.67, 2 W 2.70
W: 0.0000 0.0000 0.5000  4 W 2.67, 4 Tc 2.70


# 12
A relaxed LiCu2P crystal. Source: Alexandria via LeMat-Bulk, functional PBE.

## Properties
SG: P4mm
raw total energy: -3.894 eV per atom
ΔE_f: -0.1 eV/f.u.

a b c (Å): 2.5818 2.5818 7.7027
angles (deg): 90.00 90.00 90.00
Closest atoms and distances in Å follow each position.
Atoms (fractional coordinates):
Li: 0.0000 0.0000 0.0000  4 Li 2.58, 4 P 2.66, 4 Cu 2.74
Cu: 0.0000 0.0000 0.4948  8 Cu 2.58-2.60, 4 P 2.62
Cu: 0.5000 0.5000 0.7355  8 Cu 2.58-2.60, 4 Li 2.74
P: 0.5000 0.5000 0.2507  4 P 2.58, 4 Cu 2.62, 4 Li 2.66